w:
CaRuO2, relaxed, DFT PBE; symmetry = Fm-3m
1.0
0.000 2.828 2.828
2.828 0.000 2.828
2.828 2.828 0.000
Ca Ru O
1 1 2
Direct
0.000 0.000 0.000
0.500 0.500 0.500
0.250 0.250 0.250
0.750 0.750 0.750



x:
CaRuO2, relaxed, DFT PBE; symmetry = I-42d
1.0
-2.285 2.285 5.684
2.285 -2.285 5.684
2.285 2.285 -5.684
Ca Ru O
2 2 4
Direct
0.000 0.000 0.000
0.750 0.250 0.500
0.250 0.750 0.500
0.500 0.500 0.000
0.183 0.625 0.058
0.375 0.433 0.558
0.567 0.125 0.942
0.875 0.817 0.442



On energetic grounds, x is preferred over the next structure by 314 meV per atom.



w:
Sr4CaY2Ru2O12, relaxed, DFT PBE; symmetry = P1
1.0
6.049 0.000 0.000
0.932 6.287 0.000
0.477 0.592 8.183
Sr Ca Y Ru O
4 1 2 2 12
Direct
0.000 0.000 0.000
0.023 0.853 0.480
0.597 0.354 0.499
0.694 0.550 0.038
0.436 0.243 0.911
0.146 0.441 0.250
0.492 0.838 0.714
0.036 0.419 0.735
0.526 0.925 0.240
0.091 0.397 0.989
0.216 0.084 0.268
0.233 0.127 0.717
0.319 0.570 0.694
0.398 0.639 0.297
0.456 0.892 0.990
0.607 0.960 0.471
0.629 0.203 0.166
0.769 0.269 0.786
0.847 0.707 0.764
0.863 0.744 0.215
0.984 0.443 0.495



x:
Sr4CaY2Ru2O12, relaxed, DFT PBE; symmetry = P1
1.0
5.819 0.000 0.000
0.177 6.099 0.000
0.382 0.839 8.665
Sr Ca Y Ru O
4 1 2 2 12
Direct
0.000 0.000 0.000
0.007 0.068 0.551
0.438 0.443 0.941
0.474 0.603 0.544
0.507 0.736 0.157
0.504 0.146 0.321
0.967 0.550 0.773
0.003 0.627 0.312
0.490 0.032 0.795
0.124 0.614 0.094
0.213 0.371 0.374
0.233 0.808 0.770
0.249 0.288 0.747
0.265 0.839 0.351
0.418 0.072 0.043
0.563 0.040 0.567
0.695 0.766 0.875
0.720 0.443 0.284
0.750 0.252 0.806
0.800 0.902 0.262
0.905 0.635 0.538



On energetic grounds, w is preferred over the next structure by 8 meV per atom.



w:
CaS3O, relaxed, DFT PBE; symmetry = Pm-3m
1.0
5.395 0.000 0.000
0.000 5.395 0.000
0.000 0.000 5.395
Ca S O
1 3 1
Direct
0.000 0.000 0.000
0.000 0.000 0.500
0.000 0.500 0.000
0.500 0.000 0.000
0.500 0.500 0.500



x:
CaS3O, relaxed, DFT PBE; symmetry = Pm-3m
1.0
4.356 0.000 0.000
0.000 4.356 0.000
0.000 0.000 4.356
Ca S O
1 3 1
Direct
0.000 0.000 0.000
0.000 0.500 0.500
0.500 0.000 0.500
0.500 0.500 0.000
0.500 0.500 0.500



On energetic grounds, x is preferred over the next structure by 1014 meV per atom.



w:
Ca2SO, relaxed, DFT PBE; symmetry = I-42d
1.0
-3.238 3.238 4.017
3.238 -3.238 4.017
3.238 3.238 -4.017
Ca S O
4 2 2
Direct
0.064 0.125 0.439
0.375 0.936 0.061
0.686 0.625 0.561
0.875 0.314 0.939
0.250 0.750 0.500
0.500 0.500 0.000
0.000 0.000 0.000
0.750 0.250 0.500



x:
Ca2SO, relaxed, DFT PBE; symmetry = Fm-3m
1.0
0.000 3.263 3.263
3.263 0.000 3.263
3.263 3.263 0.000
Ca S O
2 1 1
Direct
0.250 0.250 0.250
0.750 0.750 0.750
0.000 0.000 0.000
0.500 0.500 0.500



y:
Ca2SO, relaxed, DFT PBE; symmetry = P4/nmm
1.0
4.323 0.000 0.000
0.000 4.323 0.000
0.000 0.000 8.562
Ca S O
4 2 2
Direct
0.250 0.250 0.152
0.250 0.750 0.500
0.750 0.250 0.500
0.750 0.750 0.848
0.250 0.250 0.821
0.750 0.750 0.179
0.250 0.250 0.413
0.750 0.750 0.587



z:
Ca2SO, relaxed, DFT PBE; symmetry = R3m
1.0
1.817 1.049 6.522
-1.817 1.049 6.522
0.000 -2.098 6.522
Ca S O
2 1 1
Direct
0.000 0.000 0.000
0.151 0.151 0.151
0.575 0.575 0.575
0.406 0.406 0.406



On energetic grounds, y is preferred over the next structure by 70 meV per atom.



w:
CaSO6, relaxed, DFT PBE; symmetry = C2/c
1.0
3.406 -10.848 0.000
3.406 10.848 0.000
-2.955 0.000 3.383
Ca S O
2 2 12
Direct
0.187 0.813 0.750
0.813 0.187 0.250
0.321 0.679 0.250
0.679 0.321 0.750
0.151 0.434 0.903
0.155 0.593 0.357
0.364 0.396 0.630
0.396 0.364 0.130
0.407 0.845 0.143
0.434 0.151 0.403
0.566 0.849 0.597
0.593 0.155 0.857
0.604 0.636 0.870
0.636 0.604 0.370
0.845 0.407 0.643
0.849 0.566 0.097



x:
CaSO6, relaxed, DFT PBE; symmetry = C2/m
1.0
4.418 -7.326 0.000
4.418 7.326 0.000
-3.513 0.000 5.251
Ca S O
2 2 12
Direct
0.222 0.778 0.000
0.778 0.222 0.000
0.246 0.754 0.500
0.754 0.246 0.500
0.042 0.958 0.000
0.084 0.507 0.088
0.084 0.709 0.570
0.291 0.916 0.430
0.458 0.542 0.000
0.493 0.916 0.912
0.507 0.084 0.088
0.542 0.458 0.000
0.709 0.084 0.570
0.916 0.291 0.430
0.916 0.493 0.912
0.958 0.042 0.000



On energetic grounds, w is preferred over the next structure by 474 meV per atom.



w:
CaSO6, relaxed, DFT PBE; symmetry = C2/c
1.0
3.004 -10.334 0.000
3.004 10.334 0.000
-2.057 0.000 4.592
Ca S O
2 2 12
Direct
0.191 0.809 0.750
0.809 0.191 0.250
0.322 0.678 0.250
0.678 0.322 0.750
0.035 0.093 0.383
0.093 0.035 0.883
0.141 0.420 0.080
0.207 0.648 0.443
0.352 0.793 0.057
0.420 0.141 0.580
0.580 0.859 0.420
0.648 0.207 0.943
0.793 0.352 0.557
0.859 0.580 0.920
0.907 0.965 0.117
0.965 0.907 0.617



x:
CaSO6, relaxed, DFT PBE; symmetry = C2/m
1.0
2.819 -3.027 0.000
2.819 3.027 0.000
-0.910 0.000 4.828
Ca S O
1 1 6
Direct
0.000 0.000 0.000
0.500 0.500 0.500
0.197 0.555 0.268
0.244 0.244 0.638
0.445 0.803 0.732
0.555 0.197 0.268
0.756 0.756 0.362
0.803 0.445 0.732



On energetic grounds, w is preferred over the next structure by 745 meV per atom.